Below is RbBi2Sb2 after structural relaxation, with properties calculated at the GGA-PBE level.

abc: 9.3275 9.3275 3.9994
angles: 90.00 90.00 90.00
With the nearest neighbours (Å) after each atom.
Fractional coordinates of all 10 atoms:
Sb  0.1590  0.6590  0.5000  6 Bi 3.31-3.51
Sb  0.6590  0.8410  0.5000  6 Bi 3.31-3.51
Sb  0.8410  0.3410  0.5000  6 Bi 3.31-3.51
Sb  0.3410  0.1590  0.5000  6 Bi 3.31-3.51
Bi  0.3780  0.8780  0.0000  1 Bi 3.22, 6 Sb 3.31-3.51
Bi  0.8780  0.6220  0.0000  1 Bi 3.22, 6 Sb 3.31-3.51
Bi  0.6220  0.1220  0.0000  1 Bi 3.22, 6 Sb 3.31-3.51
Bi  0.1220  0.3780  0.0000  1 Bi 3.22, 6 Sb 3.31-3.51
Rb  0.0000  0.0000  0.0000  4 Bi 3.71, 2 Rb 4.00, 8 Sb 4.04
Rb  0.5000  0.5000  0.0000  4 Bi 3.71, 2 Rb 4.00, 8 Sb 4.04

**Space-group type**: P4/mbm
**Electronic total energy**: -3.402 eV/atom
**Distance to the lowest polymorph of the same formula**: 153 meV per atom